Computed, not measured: a geometry-optimized YPb3Br structure at the PBE level of DFT.

Unit cell a=6.0303 b=6.0303 c=6.0303 alpha=90.00 beta=90.00 gamma=90.00
Space group Pm-3m (No. 221)
One atom of each set of equivalent atoms:
1 Y 0.0000 0.0000 0.0000
2 Pb 0.0000 0.0000 0.5000
3 Br 0.5000 0.5000 0.5000



Computed, not measured: a geometry-optimized ZnPb2Br structure at the PBE level of DFT.

Unit cell a=5.5838 b=5.5838 c=3.4883 alpha=90.00 beta=90.00 gamma=90.00
Space group P4/mmm (No. 123)
One atom of each set of equivalent atoms:
1 Zn 0.0000 0.0000 0.0000
2 Pb 0.0000 0.5000 0.5000
3 Br 0.5000 0.5000 0.0000



Computed, not measured: a geometry-optimized ZnPb2Br structure at the PBE level of DFT.

Unit cell a=3.7842 b=3.7842 c=28.4134 alpha=90.00 beta=90.00 gamma=120.00
Space group R3m (No. 160, hexagonal axes)
One atom of each set of equivalent atoms:
1 Zn 0.0000 0.0000 0.0000
2 Pb 0.0000 0.0000 0.2618
3 Pb 0.0000 0.0000 0.5084
4 Br 0.0000 0.0000 0.7208



| no. | formation energy (no corrections) (eV per atom) | energy above the most stable polymorph in this dataset (kJ per mole of atoms) |
| --- | --- | --- |
| 1 | 0.329 | 1.1 |
| 2 | -0.028 | 12.4 |
| 3 | -0.157 | 0.0 |